Computed, not measured: Ta2CrNO5 after structural relaxation at the PBE with a Hubbard U level of DFT.

Cell lengths 4.7715, 4.7715, 9.2169 Å; angles 89.73, 90.27, 90.26 degrees
Each line ends with the local moment (μB).
Positions (direct):
N: 0.8013 0.1987 0.8305  -0.03
Cr: 0.5000 0.5000 0.5000  2.96
Cr: 0.0000 0.0000 0.0000  2.96
O: 0.3077 0.3077 0.0000  -0.02
O: 0.6923 0.6923 0.0000  -0.02
O: 0.3004 0.3079 0.6676  -0.01
Ta: 0.4853 0.5147 0.1686  0.03
O: 0.8050 0.1950 0.5020  -0.02
O: 0.1950 0.8050 0.4980  -0.02
N: 0.1987 0.8013 0.1695  -0.03
Ta: 0.9920 0.0080 0.6737  0.03
Ta: 0.0080 0.9920 0.3263  0.03
O: 0.8040 0.1960 0.1710  -0.01
Ta: 0.5147 0.4853 0.8314  0.03
O: 0.3079 0.3004 0.3324  -0.01
O: 0.1960 0.8040 0.8290  -0.01
O: 0.6996 0.6921 0.3324  -0.01
O: 0.6921 0.6996 0.6676  -0.01

As for the offset from the most stable computed form: 11.9 meV/atom. Its total moment is 6.0 μB per cell.